Entry 1:
The following is a DFT calculation (GGA-PBE) of a geometry-optimized PrNdYSc structure.

abc: 5.6560 5.6560 5.6560
angles: 60.00 60.00 60.00
Element x y z (fractional)
1 Nd 0.0000 0.0000 0.0000
2 Sc 0.2500 0.2500 0.2500
3 Pr 0.5000 0.5000 0.5000
4 Y 0.7500 0.7500 0.7500

Calculated values
* total magnetic moment: 0.0 Bohr magnetons per cell
* volume: 32.0 Å³ per atom
* DFT formation energy: 0.388 eV/f.u.
* DFT total energy: -22.0 eV/cell

=====

Entry 2:
The following is a DFT calculation (GGA-PBE) of a geometry-optimized Pr6Nd2Y3Sc structure.

abc: 6.3178 6.3178 11.9540
angles: 95.05 95.05 120.01
Element x y z (fractional)
1 Pr 0.9175 0.5882 0.7505
2 Pr 0.7529 0.7529 0.2499
3 Y 0.5000 0.5000 0.5000
4 Nd 0.6669 0.3331 0.0000
5 Nd 0.3331 0.6669 0.0000
6 Pr 0.4118 0.0825 0.2495
7 Pr 0.0825 0.4118 0.2495
8 Pr 0.2471 0.2471 0.7501
9 Y 0.8336 0.1664 0.5000
10 Y 0.1664 0.8336 0.5000
11 Pr 0.5882 0.9175 0.7505
12 Sc 0.0000 0.0000 0.0000

Calculated values
* total magnetic moment: 0.0 Bohr magnetons per cell
* volume: 33.9 Å³ per atom
* DFT formation energy: 0.267 eV/f.u.
* DFT total energy: -63.7 eV/cell

=====

Entry 3:
The following is a DFT calculation (GGA-PBE) of a geometry-optimized Pr2NdY4Sc structure.

abc: 9.5147 9.5147 11.8558
angles: 128.54 128.54 88.07
Each line ends with the local moment (μB).
Element x y z (fractional)
1 Sc 0.0000 0.0000 0.0000  0.21
2 Y 0.2341 0.7655 0.9993  0.16
3 Nd 0.0000 0.5000 0.5000  0.10
4 Y 0.2655 0.7340 0.4993  0.16
5 Pr 0.5000 0.5000 0.0000  0.17
6 Pr 0.5000 0.0000 0.0000  0.12
7 Y 0.7494 0.7491 0.5164  0.13
8 Sc 0.5000 0.5000 0.5000  0.21
9 Pr 0.0000 0.0000 0.5000  0.17
10 Y 0.7509 0.7506 0.9836  0.13
11 Nd 0.0000 0.5000 0.0000  0.10
12 Y 0.7660 0.2345 0.0007  0.16
13 Y 0.7345 0.2660 0.5007  0.16
14 Y 0.2491 0.2494 0.0164  0.13
15 Y 0.2506 0.2509 0.4836  0.13
16 Pr 0.5000 0.0000 0.5000  0.12

Calculated values
* total magnetic moment: 4.0 Bohr magnetons per cell
* volume: 33.4 Å³ per atom
* DFT formation energy: 3.180 eV/f.u.
* DFT total energy: -86.7 eV/cell

=====

Entry 4:
The following is a DFT calculation (GGA-PBE) of a geometry-optimized PrNd6YSc2 structure.

abc: 9.6898 8.8346 8.8346
angles: 117.74 94.53 94.53
Element x y z (fractional)
1 Nd 0.1805 0.5633 0.0193
2 Nd 0.5530 0.7610 0.1074
3 Sc 0.5478 0.1936 0.2917
4 Y 0.2500 0.9708 0.0292
5 Nd 0.8796 0.3000 0.5014
6 Nd 0.6805 0.0193 0.5633
7 Nd 0.0530 0.1074 0.7610
8 Nd 0.6204 0.4986 0.7000
9 Nd 0.8195 0.4367 0.9807
10 Nd 0.1204 0.7000 0.4986
11 Pr 0.7500 0.5964 0.4036
12 Nd 0.3195 0.9807 0.4367
13 Nd 0.9470 0.8926 0.2390
14 Nd 0.4470 0.2390 0.8926
15 Pr 0.2500 0.4036 0.5964
16 Y 0.7500 0.0292 0.9708
17 Sc 0.0478 0.2917 0.1936
18 Sc 0.4522 0.8064 0.7083
19 Nd 0.3796 0.5014 0.3000
20 Sc 0.9522 0.7083 0.8064

Calculated values
* total magnetic moment: 0.0 Bohr magnetons per cell
* volume: 33.1 Å³ per atom
* DFT formation energy: 1.190 eV/f.u.
* DFT total energy: -102.6 eV/cell

=====

Entry 5:
The following is a DFT calculation (GGA-PBE) of a geometry-optimized PrNdZrSc structure.

abc: 5.4480 5.4480 5.4480
angles: 60.00 60.00 60.00
Element x y z (fractional)
1 Pr 0.2500 0.2500 0.2500
2 Nd 0.7500 0.7500 0.7500
3 Sc 0.0000 0.0000 0.0000
4 Zr 0.5000 0.5000 0.5000

Calculated values
* total magnetic moment: 0.1 Bohr magnetons per cell
* volume: 28.6 Å³ per atom
* DFT formation energy: 0.758 eV/f.u.
* DFT total energy: -23.7 eV/cell

=====

Entry 6:
The following is a DFT calculation (GGA-PBE) of a geometry-optimized Pr2NdSe3 structure.

abc: 4.2046 4.2046 21.3762
angles: 90.00 90.00 120.00
Element x y z (fractional)
1 Pr 0.6667 0.3333 0.4173
2 Se 0.0000 0.0000 0.5000
3 Se 0.6667 0.3333 0.8338
4 Nd 0.0000 0.0000 0.7500
5 Se 0.3333 0.6667 0.3338
6 Pr 0.6667 0.3333 0.0827
7 Pr 0.3333 0.6667 0.9173
8 Se 0.3333 0.6667 0.1662
9 Se 0.6667 0.3333 0.6662
10 Pr 0.3333 0.6667 0.5827
11 Nd 0.0000 0.0000 0.2500
12 Se 0.0000 0.0000 0.0000

Calculated values
* total magnetic moment: 0.0 Bohr magnetons per cell
* volume: 27.3 Å³ per atom
* energy relative to the lowest polymorph listed for this composition: 0.9 kJ/mol of atoms
* raw formation energy: -1.83 eV per atom
* DFT total energy: -71.5 eV/cell

=====

Entry 7:
The following is a DFT calculation (GGA-PBE) of a geometry-optimized Pr6NdSe8 structure.

abc: 8.5016 8.5016 8.5016
angles: 60.00 60.00 60.00
Element x y z (fractional)
1 Pr 0.5000 0.5000 0.0000
2 Se 0.2500 0.2500 0.2500
3 Se 0.7489 0.2511 0.7489
4 Pr 0.5000 0.0000 0.5000
5 Se 0.7500 0.7500 0.7500
6 Se 0.2511 0.7489 0.2511
7 Pr 0.5000 0.0000 0.0000
8 Se 0.7489 0.2511 0.2511
9 Se 0.7489 0.7489 0.2511
10 Se 0.2511 0.7489 0.7489
11 Se 0.2511 0.2511 0.7489
12 Pr 0.0000 0.5000 0.0000
13 Nd 0.0000 0.0000 0.0000
14 Pr 0.0000 0.0000 0.5000
15 Pr 0.0000 0.5000 0.5000

Calculated values
* total magnetic moment: 0.0 Bohr magnetons per cell
* volume: 29.0 Å³ per atom
* raw formation energy: -1.88 eV per atom
* DFT total energy: -89.5 eV/cell

=====

Entry 8:
The following is a DFT calculation (GGA-PBE) of a geometry-optimized Pr2NdSe3 structure.

abc: 4.2676 6.0077 7.3596
angles: 114.09 106.85 90.00
Element x y z (fractional)
1 Se 0.8351 0.3351 0.1701
2 Pr 0.1676 0.1676 0.8353
3 Se 0.1649 0.6649 0.8299
4 Se 0.5000 0.0000 0.5000
5 Nd 0.5000 0.5000 0.5000
6 Pr 0.8324 0.8324 0.1647

Calculated values
* total magnetic moment: 0.0 Bohr magnetons per cell
* volume: 27.2 Å³ per atom
* energy relative to the lowest polymorph listed for this composition: 0.0 kJ/mol of atoms
* raw formation energy: -1.84 eV per atom
* DFT total energy: -35.8 eV/cell

=====

Entry 9:
The following is a DFT calculation (GGA-PBE) of a geometry-optimized PrNdSe structure.

abc: 4.0564 4.0564 6.7810
angles: 90.00 90.00 120.00
Each line ends with the local moment (μB).
Element x y z (fractional)
1 Nd 0.3333 0.6667 0.6066  0.23
2 Pr 0.0000 0.0000 0.0581  0.23
3 Se 0.6667 0.3333 0.3353  0.01

Calculated values
* total magnetic moment: 1.3 Bohr magnetons per cell
* volume: 32.2 Å³ per atom
* energy relative to the lowest polymorph listed for this composition: 0.0 kJ/mol of atoms
* raw formation energy: -1.10 eV per atom
* DFT total energy: -16.3 eV/cell

=====

Entry 10:
The following is a DFT calculation (GGA-PBE) of a geometry-optimized Pr3NdSe4 structure.

abc: 7.4021 7.4033 8.4355
angles: 90.00 90.00 109.29
Element x y z (fractional)
1 Pr 0.2500 0.5000 0.3751
2 Se 0.0000 0.2480 0.1238
3 Pr 0.7500 0.5000 0.6249
4 Pr 0.2500 0.5000 0.8747
5 Se 0.4989 0.2489 0.3741
6 Pr 0.7500 0.0000 0.3750
7 Se 0.9989 0.2489 0.6259
8 Se 0.0011 0.7511 0.3741
9 Se 0.5000 0.2480 0.8762
10 Nd 0.7500 0.0000 0.8746
11 Se 0.0000 0.7520 0.8762
12 Pr 0.2500 0.0000 0.6250
13 Se 0.5011 0.7511 0.6259
14 Pr 0.7500 0.5000 0.1253
15 Se 0.5000 0.7520 0.1238
16 Nd 0.2500 0.0000 0.1254

Calculated values
* total magnetic moment: 0.0 Bohr magnetons per cell
* volume: 27.3 Å³ per atom
* energy relative to the lowest polymorph listed for this composition: 0.0 kJ/mol of atoms
* raw formation energy: -1.85 eV per atom
* DFT total energy: -95.6 eV/cell

=====

Entry 11:
The following is a DFT calculation (GGA-PBE) of a geometry-optimized Pr2Nd3Se6 structure.

abc: 7.3420 7.3212 7.3145
angles: 80.38 70.53 59.91
Element x y z (fractional)
1 Pr 0.8346 0.3308 0.5000
2 Pr 0.1654 0.6692 0.5000
3 Nd 0.3357 0.3286 0.0000
4 Nd 0.0000 0.0000 0.0000
5 Se 0.7458 0.0000 0.7465
6 Nd 0.6643 0.6714 0.0000
7 Se 0.2542 0.0000 0.2535
8 Se 0.4164 0.6699 0.7511
9 Se 0.0863 0.3301 0.7511
10 Se 0.5836 0.3301 0.2489
11 Se 0.9137 0.6699 0.2489

Calculated values
* total magnetic moment: 0.0 Bohr magnetons per cell
* volume: 29.2 Å³ per atom
* raw formation energy: -1.89 eV per atom
* DFT total energy: -65.5 eV/cell

=====

Entry 12:
The following is a DFT calculation (GGA-PBE) of a geometry-optimized Pr2Nd3Se8 structure.

abc: 7.2404 8.5899 8.5388
angles: 120.20 107.20 90.00
Element x y z (fractional)
1 Se 0.9196 0.6231 0.2462
2 Se 0.0718 0.8823 0.7646
3 Nd 0.5000 0.0000 0.0000
4 Se 0.0804 0.3769 0.7538
5 Nd 0.0000 0.2628 0.0000
6 Se 0.5851 0.1108 0.7524
7 Pr 0.6572 0.7383 0.4766
8 Se 0.4149 0.3584 0.2476
9 Se 0.4149 0.8892 0.2476
10 Pr 0.3428 0.2617 0.5234
11 Nd 0.0000 0.7372 0.0000
12 Se 0.9282 0.1177 0.2354
13 Se 0.5851 0.6416 0.7524

Calculated values
* total magnetic moment: 0.0 Bohr magnetons per cell
* volume: 33.2 Å³ per atom
* raw formation energy: -1.70 eV per atom
* DFT total energy: -73.8 eV/cell

=====

Entry 13:
The following is a DFT calculation (GGA-PBE) of a geometry-optimized Pr3NdSe6 structure.

abc: 8.7302 8.7302 8.7302
angles: 91.12 91.12 91.12
Element x y z (fractional)
1 Nd 0.5000 0.5000 0.5000
2 Nd 0.0000 0.0000 0.0000
3 Pr 0.0770 0.2466 0.5678
4 Se 0.5361 0.4069 0.1808
5 Se 0.9083 0.0810 0.3150
6 Pr 0.5678 0.0770 0.2466
7 Se 0.4639 0.5931 0.8192
8 Pr 0.4322 0.9230 0.7534
9 Se 0.6850 0.0917 0.9190
10 Se 0.5931 0.8192 0.4639
11 Pr 0.9230 0.7534 0.4322
12 Se 0.0810 0.3150 0.9083
13 Se 0.9190 0.6850 0.0917
14 Se 0.1808 0.5361 0.4069
15 Pr 0.7534 0.4322 0.9230
16 Se 0.8192 0.4639 0.5931
17 Se 0.3150 0.9083 0.0810
18 Se 0.4069 0.1808 0.5361
19 Pr 0.2466 0.5678 0.0770
20 Se 0.0917 0.9190 0.6850

Calculated values
* total magnetic moment: 0.0 Bohr magnetons per cell
* volume: 33.3 Å³ per atom
* energy relative to the lowest polymorph listed for this composition: 1.6 kJ/mol of atoms
* raw formation energy: -1.85 eV per atom
* DFT total energy: -117.0 eV/cell

=====

Entry 14:
The following is a DFT calculation (GGA-PBE) of a geometry-optimized PrNd5Se6 structure.

abc: 7.3241 7.3373 7.3525
angles: 60.07 80.34 70.35
Element x y z (fractional)
1 Se 0.2513 0.5810 0.3353
2 Se 0.7487 0.4190 0.6647
3 Se 0.2502 0.2518 0.0000
4 Nd 0.5000 0.1654 0.6691
5 Nd 0.0000 0.3335 0.3331
6 Nd 0.5000 0.5000 0.0000
7 Nd 0.5000 0.8346 0.3309
8 Se 0.7487 0.0837 0.3353
9 Se 0.2513 0.9163 0.6647
10 Pr 0.0000 0.0000 0.0000
11 Se 0.7498 0.7482 0.0000
12 Nd 0.0000 0.6665 0.6669

Calculated values
* total magnetic moment: 0.0 Bohr magnetons per cell
* volume: 26.9 Å³ per atom
* raw formation energy: -1.84 eV per atom
* DFT total energy: -71.6 eV/cell

=====

Entry 15:
The following is a DFT calculation (GGA-PBE) of a geometry-optimized Pr5Nd3Se8 structure.

abc: 8.5082 8.5082 8.5084
angles: 60.00 60.00 60.00
Element x y z (fractional)
1 Pr 0.5000 0.0000 0.0000
2 Pr 0.0000 0.5000 0.0000
3 Se 0.7521 0.2500 0.7479
4 Se 0.7500 0.2479 0.2521
5 Se 0.2479 0.7500 0.2521
6 Nd 0.0000 0.5000 0.5000
7 Se 0.2500 0.7521 0.7479
8 Pr 0.5000 0.5000 0.0000
9 Nd 0.5000 0.0000 0.5000
10 Nd 0.0000 0.0000 0.5000
11 Pr 0.0000 0.0000 0.0000
12 Se 0.7511 0.7511 0.7468
13 Pr 0.5000 0.5000 0.5000
14 Se 0.7500 0.7500 0.2521
15 Se 0.2500 0.2500 0.7479
16 Se 0.2489 0.2489 0.2532

Calculated values
* total magnetic moment: 0.0 Bohr magnetons per cell
* volume: 27.2 Å³ per atom
* raw formation energy: -1.84 eV per atom
* DFT total energy: -95.5 eV/cell

=====

Entry 16:
The following is a DFT calculation (GGA-PBE) of a geometry-optimized Pr4NdSe5 structure.

abc: 4.2572 6.0151 11.2864
angles: 105.45 100.87 90.00
Element x y z (fractional)
1 Pr 0.6001 0.6001 0.2001
2 Se 0.0000 0.5000 0.0000
3 Pr 0.3999 0.3999 0.7999
4 Se 0.2002 0.7002 0.4004
5 Se 0.5989 0.0989 0.1979
6 Nd 0.0000 0.0000 0.0000
7 Pr 0.8005 0.8005 0.6010
8 Se 0.7998 0.2998 0.5996
9 Pr 0.1995 0.1995 0.3990
10 Se 0.4011 0.9011 0.8021

Calculated values
* total magnetic moment: 0.0 Bohr magnetons per cell
* volume: 27.3 Å³ per atom
* raw formation energy: -1.84 eV per atom
* DFT total energy: -59.7 eV/cell

=====

Entry 17:
The following is a DFT calculation (GGA-PBE) of a geometry-optimized PrNdSe structure.

abc: 7.7683 11.3439 7.1447
angles: 142.55 90.00 90.00
Element x y z (fractional)
1 Nd 0.6639 0.7985 0.0000
2 Se 0.1978 0.4364 0.0000
3 Se 0.3022 0.9364 0.0000
4 Se 0.8022 0.5636 0.0000
5 Nd 0.3361 0.2015 0.0000
6 Se 0.6978 0.0636 0.0000
7 Pr 0.0000 0.2027 0.4054
8 Pr 0.5000 0.2973 0.5946
9 Pr 0.0000 0.7973 0.5946
10 Nd 0.8361 0.2985 0.0000
11 Pr 0.5000 0.7027 0.4054
12 Nd 0.1639 0.7015 0.0000

Calculated values
* total magnetic moment: 0.0 Bohr magnetons per cell
* volume: 31.9 Å³ per atom
* energy relative to the lowest polymorph listed for this composition: 5.1 kJ/mol of atoms
* raw formation energy: -1.04 eV per atom
* DFT total energy: -64.7 eV/cell

=====

Entry 18:
The following is a DFT calculation (GGA-PBE) of a geometry-optimized PrNd4Se5 structure.

abc: 4.2371 5.9846 11.2295
angles: 105.45 100.87 90.00
Element x y z (fractional)
1 Nd 0.7995 0.7995 0.5990
2 Se 0.0000 0.5000 0.0000
3 Nd 0.2005 0.2005 0.4010
4 Se 0.6011 0.1011 0.2021
5 Se 0.1997 0.6997 0.3995
6 Pr 0.0000 0.0000 0.0000
7 Se 0.3989 0.8989 0.7979
8 Nd 0.5999 0.5999 0.1998
9 Nd 0.4001 0.4001 0.8002
10 Se 0.8003 0.3003 0.6005

Calculated values
* total magnetic moment: 0.0 Bohr magnetons per cell
* volume: 26.9 Å³ per atom
* raw formation energy: -1.84 eV per atom
* DFT total energy: -59.6 eV/cell

=====

Entry 19:
The following is a DFT calculation (GGA-PBE) of a geometry-optimized Pr2Nd2Se7 structure.

abc: 7.4286 6.3576 7.4286
angles: 89.99 93.06 90.01
Element x y z (fractional)
1 Pr 0.2651 0.5000 0.2651
2 Se 0.4997 0.2607 0.0002
3 Nd 0.2643 0.0000 0.7357
4 Se 0.9998 0.2607 0.5003
5 Se 0.4998 0.2455 0.5002
6 Nd 0.7357 0.0000 0.2643
7 Se 0.0002 0.7393 0.4997
8 Pr 0.7349 0.5000 0.7349
9 Se 0.5003 0.7393 0.9998
10 Se 0.5002 0.7545 0.4998
11 Se 0.0000 0.0000 0.0000

Calculated values
* total magnetic moment: 0.0 Bohr magnetons per cell
* volume: 31.8 Å³ per atom
* raw formation energy: -1.48 eV per atom
* DFT total energy: -59.7 eV/cell

=====

Entry 20:
The following is a DFT calculation (GGA-PBE) of a geometry-optimized PrNd2Se structure.

abc: 3.9511 3.9511 10.0033
angles: 78.61 78.61 60.00
Each line ends with the local moment (μB).
Element x y z (fractional)
1 Nd 0.0648 0.0648 0.8057  0.03
2 Nd 0.2687 0.2687 0.1940  0.02
3 Se 0.6669 0.6669 0.9993  0.00
4 Pr 0.4997 0.4997 0.5010  0.07

Calculated values
* total magnetic moment: 0.3 Bohr magnetons per cell
* volume: 32.9 Å³ per atom
* raw formation energy: -0.81 eV per atom
* DFT total energy: -21.0 eV/cell

=====

Entry 21:
The following is a DFT calculation (GGA-PBE) of a geometry-optimized Pr3NdSe4 structure.

abc: 4.2135 7.4006 7.4006
angles: 108.97 90.00 90.00
Element x y z (fractional)
1 Se 0.5000 0.2490 0.7510
2 Se 0.5000 0.7510 0.2490
3 Se 0.0000 0.2480 0.2480
4 Nd 0.5000 0.0000 0.0000
5 Pr 0.0000 0.5000 0.0000
6 Se 0.0000 0.7520 0.7520
7 Pr 0.0000 0.0000 0.5000
8 Pr 0.5000 0.5000 0.5000

Calculated values
* total magnetic moment: 0.0 Bohr magnetons per cell
* volume: 27.3 Å³ per atom
* energy relative to the lowest polymorph listed for this composition: 0.4 kJ/mol of atoms
* raw formation energy: -1.84 eV per atom
* DFT total energy: -47.8 eV/cell